{"formula": "SbPtW3", "functional": "SCAN", "state": "PBEsol geometry", "dft_energy_ev_per_atom": -60.34, "formation_energy_uncorrected_ev_per_atom": 2.963, "cell": [[4.757, 0.000, 0.000], [0.000, 4.757, 0.000], [0.000, 0.000, 4.757]], "species": ["W", "W", "W", "Sb", "Pt"], "frac_coords": [[0.000, 0.000, 0.500], [0.000, 0.500, 0.000], [0.500, 0.000, 0.000], [0.000, 0.000, 0.000], [0.500, 0.500, 0.500]]}

{"formula": "Sc2B2Os", "functional": "SCAN", "state": "PBEsol geometry", "dft_energy_ev_per_atom": -23.70, "formation_enthalpy_0k_ev_per_atom": -0.655, "cell": [[-3.137, -0.401, -1.250], [1.711, -5.178, -2.633], [-1.594, -3.058, 4.979]], "species": ["B", "B", "B", "B", "Os", "Os", "Sc", "Sc", "Sc", "Sc"], "frac_coords": [[0.000, 0.602, 0.102], [0.000, 0.102, 0.398], [0.000, 0.898, 0.602], [0.000, 0.398, 0.898], [0.000, 0.500, 0.500], [0.000, 0.000, 0.000], [0.500, 0.312, 0.188], [0.500, 0.188, 0.688], [0.500, 0.812, 0.312], [0.500, 0.688, 0.812]]}

{"formula": "AlMoAu2", "functional": "SCAN", "state": "PBEsol geometry", "dft_energy_ev_per_atom": -45.22, "formation_enthalpy_0k_ev_per_atom": 0.017, "cell": [[2.762, 0.000, 0.000], [-1.381, 4.699, -0.038], [0.000, -0.928, 4.932]], "species": ["Au", "Au", "Mo", "Al"], "frac_coords": [[0.755, 0.510, 0.750], [0.245, 0.490, 0.250], [0.000, 0.000, 0.500], [0.500, 0.000, 0.000]]}